A relaxed structure of K5MoC7N7O, computed with PBE with a Hubbard U.

Lattice parameters (Å, degrees): 7.9604 7.8432 8.2579 107.80 110.00 106.87
With the nearest neighbours (Å) after each atom.
Positions (direct):
N 0.4282 0.1422 0.3894  1 C 1.18
K 0.8322 0.3108 0.6628  5 N 2.82-3.14
C 0.7135 0.9438 0.7795  1 N 1.18
N 0.2048 0.2227 0.7779  1 C 1.18
C 0.1370 0.1446 0.8575  1 N 1.18
N 0.1348 0.4930 0.2327  1 C 1.18
K 0.1023 0.8312 0.4596  1 O 2.62, 1 N 2.88
K 0.3568 0.4798 0.6220  6 N 2.90-3.15
K 0.6000 0.2563 0.0673  1 O 2.56
C 0.8825 0.0447 0.2031  1 N 1.18
N 0.1775 0.6983 0.8010  1 C 1.18
N 0.5524 0.9101 0.6699  1 C 1.18
K 0.4887 0.7549 0.2613  1 O 2.61, 2 N 2.85-2.87
N 0.7270 0.5453 0.9264  1 C 1.18
C 0.8312 0.7075 0.9606  1 N 1.18
C 0.1115 0.8028 0.8633  1 N 1.18
C 0.0850 0.3221 0.1434  1 N 1.18
C 0.2794 0.0876 0.2488  1 N 1.18
Mo 0.0027 0.0022 0.9991  7 C 2.17-2.20
N 0.8203 0.0767 0.3139  1 C 1.18
O 0.7322 0.5971 0.3490  3 K 2.56-2.62

final energy	-6.850	eV/atom
mass density	2.0	g/cm³
space group	P1